1.
The following is a PBE calculation of a geometry-optimized CeThZr structure, from Alexandria via LeMat-Bulk.

Calculated values
The calculated formation energy is 38 kJ/mol of formula units. The calculation puts the calculated volume at 28.0 A^3/atom. As for the space group: No. 156. Its energy relative to the lowest polymorph listed for this composition is 67 meV per atom.

abc: 5.3601 5.3601 3.3745
angles: 90.00 90.00 120.00
Closest atoms and distances in Å follow each position.
Fractional coordinates of all 3 atoms:
Ce 0.0000 0.0000 0.0000  3 Zr 3.09, 2 Ce 3.37
Th 0.6667 0.3333 0.5011  2 Th 3.37, 6 Ce 3.52-3.53, 6 Zr 3.52-3.53
Zr 0.3333 0.6667 0.0015  3 Ce 3.09, 2 Zr 3.37

2.
The following is a PBE calculation of a geometry-optimized Tb5NdSn4 structure, from Alexandria via LeMat-Bulk.

Calculated values
The calculated formation energy is -405 kJ/mol of formula units. The calculation puts the calculated volume at 31.7 A^3/atom. As for the space group: No. 12.

abc: 9.2525 9.2525 8.1396
angles: 102.07 102.07 27.78
Closest atoms and distances in Å follow each position.
Fractional coordinates of all 10 atoms:
Tb 0.0000 0.0000 0.0000  4 Sn 3.00
Tb 0.2955 0.2955 0.1978  3 Sn 2.99-3.23
Tb 0.3607 0.3607 0.7768  4 Sn 3.14-3.36
Tb 0.6393 0.6393 0.2232  4 Sn 3.14-3.36
Tb 0.7045 0.7045 0.8022  3 Sn 2.99-3.23
Nd 0.0000 0.0000 0.5000  6 Sn 3.15-3.39
Sn 0.1894 0.1894 0.5094  2 Sn 3.14, 6 Tb 3.20-3.49, 1 Nd 3.39
Sn 0.4640 0.4640 0.2190  4 Tb 2.99-3.14, 2 Nd 3.15
Sn 0.5360 0.5360 0.7810  4 Tb 2.99-3.14, 2 Nd 3.15
Sn 0.8106 0.8106 0.4906  2 Sn 3.14, 6 Tb 3.20-3.49, 1 Nd 3.39

3.
The following is a PBE calculation of a geometry-optimized CdAs2Se structure, from Alexandria via LeMat-Bulk.

Calculated values
The calculation puts the calculated volume at 28.9 A^3/atom. As for the space group: No. 122. Its energy relative to the lowest polymorph listed for this composition is 344 meV per atom.

abc: 7.9174 7.9174 7.9174
angles: 136.61 136.61 63.04
Closest atoms and distances in Å follow each position.
Fractional coordinates of all 8 atoms:
Cd 0.0000 0.0000 0.0000  4 As 2.71
Cd 0.7500 0.2500 0.5000  4 As 2.71
As 0.1386 0.6250 0.0136  2 Se 2.63, 2 Cd 2.71
As 0.3750 0.3886 0.5136  2 Se 2.63, 2 Cd 2.71
As 0.6114 0.1250 0.9864  2 Se 2.63, 2 Cd 2.71
As 0.8750 0.8614 0.4864  2 Se 2.63, 2 Cd 2.71
Se 0.2500 0.7500 0.5000  4 As 2.63
Se 0.5000 0.5000 0.0000  4 As 2.63